{"formula": "CoSeBr", "functional": "PBE", "state": "relaxed", "lattice": [[0.0000, 3.1165, 3.1165], [3.1165, 0.0000, 3.1165], [3.1165, 3.1165, 0.0000]], "species": ["Co", "Se", "Br"], "fractional_positions": [[0.0000, 0.0000, 0.0000], [0.7500, 0.7500, 0.7500], [0.2500, 0.2500, 0.2500]], "volume_a3_per_cell": 60.5, "energy_ev_per_atom": -3.76, "magnetic_moment_mub_per_fu": 2.1, "raw_formation_energy_kj_per_mol_fu": 93, "space_group": "F-43m, No. 216"}